No. 1
Compound: CaCdSe2N
Source: the Alexandria database
Functional: GGA-PBE
Structure: optimized geometry Values from VASP.

Results
formation energy (no corrections)	13.2	kJ per mole of atoms
relative energy among the computed polymorphs	0	meV/atom

```
&SYSTEM
  ibrav = 0, nat = 5, ntyp = 4
/
ATOMIC_SPECIES
Ca 40.08 Ca.upf
Cd 112.41 Cd.upf
Se 78.96 Se.upf
N 14.01 N.upf
ATOMIC_POSITIONS crystal
Ca 0.0000 0.0000 0.0000
Cd 0.5000 0.5000 0.5000
Se 0.0000 0.5000 0.5000
Se 0.5000 0.0000 0.5000
N 0.5000 0.5000 0.0000
CELL_PARAMETERS angstrom
5.3653 0.0000 0.0000
0.0000 5.3653 0.0000
0.0000 0.0000 4.2486
```

---

No. 2
Compound: CeScMn
Source: the Alexandria database
Functional: GGA-PBE
Structure: optimized geometry Values from VASP.

Results
energy of formation	0.113	eV per atom
relative energy among the computed polymorphs	17	meV/atom

```
&SYSTEM
  ibrav = 0, nat = 3, ntyp = 3
/
ATOMIC_SPECIES
Ce 140.12 Ce.upf
Sc 44.96 Sc.upf
Mn 54.94 Mn.upf
ATOMIC_POSITIONS crystal
Ce 0.0000 0.0000 0.0000
Sc 0.2582 0.2582 0.0000
Mn 0.6296 0.6296 0.0000
CELL_PARAMETERS angstrom
-1.5991 1.5991 6.1269
1.5991 -1.5991 6.1269
1.5991 1.5991 -6.1269
```

---

No. 3
Compound: RbMnS3
Source: the Alexandria database
Functional: GGA-PBE
Structure: optimized geometry Values from VASP.

Results
formation energy (no corrections)	-15.7	kJ per mole of atoms
relative energy among the computed polymorphs	468	meV/atom

```
&SYSTEM
  ibrav = 0, nat = 5, ntyp = 3
/
ATOMIC_SPECIES
Rb 85.47 Rb.upf
Mn 54.94 Mn.upf
S 32.06 S.upf
ATOMIC_POSITIONS crystal
Rb 0.0000 0.0000 0.0000
Mn 0.5000 0.5000 0.5000
S 0.0000 0.5000 0.5000
S 0.5000 0.0000 0.5000
S 0.5000 0.5000 0.0000
CELL_PARAMETERS angstrom
4.6275 0.0000 0.0000
0.0000 4.6275 0.0000
0.0000 0.0000 4.6275
```

---

No. 4
Compound: Sm6Ga2Ru
Source: the Alexandria database
Functional: GGA-PBE
Structure: optimized geometry Values from VASP.

Results
energy of formation	-0.220	eV per atom

```
&SYSTEM
  ibrav = 0, nat = 9, ntyp = 3
/
ATOMIC_SPECIES
Sm 150.36 Sm.upf
Ga 69.72 Ga.upf
Ru 101.07 Ru.upf
ATOMIC_POSITIONS crystal
Sm 0.0862 0.3408 0.7454
Sm 0.2389 0.0000 0.2389
Sm 0.4046 0.6592 0.7454
Sm 0.5954 0.3408 0.2546
Sm 0.7611 0.0000 0.7611
Sm 0.9138 0.6592 0.2546
Ga 0.3325 0.8325 0.5000
Ga 0.6675 0.1675 0.5000
Ru 0.0000 0.5000 0.5000
CELL_PARAMETERS angstrom
-2.5257 3.5577 7.4107
2.5257 -3.5577 7.4107
2.5257 3.5577 -7.4107
```

---

No. 5
Compound: TcHSe2
Source: the Alexandria database
Functional: GGA-PBE
Structure: optimized geometry Values from VASP.

Results
relative energy among the computed polymorphs	139	meV/atom

```
&SYSTEM
  ibrav = 0, nat = 16, ntyp = 3
/
ATOMIC_SPECIES
Tc 98.00 Tc.upf
H 1.01 H.upf
Se 78.96 Se.upf
ATOMIC_POSITIONS crystal
Tc 0.2490 0.2500 0.2501
Tc 0.2510 0.7500 0.7501
Tc 0.7490 0.2500 0.2499
Tc 0.7510 0.7500 0.7499
H 0.0015 0.7500 0.6142
H 0.4985 0.2500 0.1142
H 0.5015 0.7500 0.8858
H 0.9985 0.2500 0.3858
Se 0.0010 0.0138 0.8702
Se 0.0010 0.4862 0.8702
Se 0.4990 0.5138 0.3702
Se 0.4990 0.9862 0.3702
Se 0.5010 0.0138 0.6298
Se 0.5010 0.4862 0.6298
Se 0.9990 0.5138 0.1298
Se 0.9990 0.9862 0.1298
CELL_PARAMETERS angstrom
5.1495 0.0000 0.0000
0.0000 6.9805 0.0000
0.0000 0.0000 9.5777
```

---

No. 6
Compound: NaSr3Pd
Source: the Alexandria database
Functional: GGA-PBE
Structure: optimized geometry Values from VASP.

Results
energy of formation	-0.094	eV per atom
relative energy among the computed polymorphs	192	meV/atom

```
&SYSTEM
  ibrav = 0, nat = 10, ntyp = 3
/
ATOMIC_SPECIES
Na 22.99 Na.upf
Sr 87.62 Sr.upf
Pd 106.42 Pd.upf
ATOMIC_POSITIONS crystal
Na 0.0017 0.2500 0.0009
Na 0.9983 0.7500 0.9991
Sr 0.3315 0.7500 0.6655
Sr 0.3340 0.0847 0.6678
Sr 0.3340 0.4153 0.6678
Sr 0.6660 0.5847 0.3322
Sr 0.6660 0.9153 0.3322
Sr 0.6685 0.2500 0.3345
Pd 0.3352 0.2500 0.6680
Pd 0.6648 0.7500 0.3320
CELL_PARAMETERS angstrom
5.4880 0.0000 0.0000
0.0000 17.6800 0.0000
-2.7427 0.0000 4.7584
```

---

No. 7
Compound: Hg5As
Source: the Alexandria database
Functional: GGA-PBE
Structure: optimized geometry Values from VASP.

Results
energy of formation	0.139	eV per atom
relative energy among the computed polymorphs	7	meV/atom

```
&SYSTEM
  ibrav = 0, nat = 6, ntyp = 2
/
ATOMIC_SPECIES
Hg 200.59 Hg.upf
As 74.92 As.upf
ATOMIC_POSITIONS crystal
Hg 0.0000 0.0000 0.0000
Hg 0.3340 0.6660 0.0000
Hg 0.3424 0.6576 0.5000
Hg 0.6576 0.3424 0.5000
Hg 0.6660 0.3340 0.0000
As 0.0000 0.0000 0.5000
CELL_PARAMETERS angstrom
2.3790 -5.3551 0.0000
2.3790 5.3551 0.0000
0.0000 0.0000 6.2258
```

---

No. 8
Compound: Tl2VSe2
Source: the Alexandria database
Functional: GGA-PBE
Structure: optimized geometry Values from VASP.

Results
formation energy (no corrections)	32.6	kJ per mole of atoms
relative energy among the computed polymorphs	530	meV/atom

```
&SYSTEM
  ibrav = 0, nat = 5, ntyp = 3
/
ATOMIC_SPECIES
Tl 204.38 Tl.upf
V 50.94 V.upf
Se 78.96 Se.upf
ATOMIC_POSITIONS crystal
Tl 0.2500 0.7500 0.5000
Tl 0.7500 0.2500 0.5000
V 0.0000 0.0000 0.0000
Se 0.4172 0.4172 0.0000
Se 0.5828 0.5828 0.0000
CELL_PARAMETERS angstrom
-2.0299 2.0299 8.1190
2.0299 -2.0299 8.1190
2.0299 2.0299 -8.1190
```

---

No. 9
Compound: PrNdTmMg
Source: the Alexandria database
Functional: GGA-PBE
Structure: optimized geometry Values from VASP.

Results
energy of formation	0.006	eV per atom
relative energy among the computed polymorphs	33	meV/atom

```
&SYSTEM
  ibrav = 0, nat = 4, ntyp = 4
/
ATOMIC_SPECIES
Pr 140.91 Pr.upf
Nd 144.24 Nd.upf
Tm 168.93 Tm.upf
Mg 24.30 Mg.upf
ATOMIC_POSITIONS crystal
Pr 0.0000 0.0000 0.0000
Nd 0.5000 0.5000 0.5000
Tm 0.2500 0.2500 0.2500
Mg 0.7500 0.7500 0.7500
CELL_PARAMETERS angstrom
0.0000 3.9618 3.9618
3.9618 0.0000 3.9618
3.9618 3.9618 0.0000
```

---

No. 10
Compound: Tb3DyTh4As8
Source: the Alexandria database
Functional: GGA-PBE
Structure: optimized geometry Values from VASP.

Results
energy of formation	-1.474	eV per atom

```
&SYSTEM
  ibrav = 0, nat = 16, ntyp = 4
/
ATOMIC_SPECIES
Tb 158.93 Tb.upf
Dy 162.50 Dy.upf
Th 232.04 Th.upf
As 74.92 As.upf
ATOMIC_POSITIONS crystal
Tb 0.0000 0.5000 0.5000
Tb 0.5000 0.0000 0.5000
Tb 0.5000 0.5000 0.0000
Dy 0.0000 0.0000 0.0000
Th 0.0000 0.0000 0.5000
Th 0.0000 0.5000 0.0000
Th 0.5000 0.0000 0.0000
Th 0.5000 0.5000 0.5000
As 0.2475 0.2475 0.7483
As 0.2475 0.7483 0.2475
As 0.2521 0.2521 0.2521
As 0.2517 0.7525 0.7525
As 0.7483 0.2475 0.2475
As 0.7479 0.7479 0.7479
As 0.7525 0.2517 0.7525
As 0.7525 0.7525 0.2517
CELL_PARAMETERS angstrom
4.2068 2.4288 6.8106
-4.2068 2.4288 6.8106
0.0000 -4.8576 6.8106
```

---

No. 11
Compound: In7GaHg2
Source: the Alexandria database
Functional: GGA-PBE
Structure: optimized geometry Values from VASP.

Results
energy of formation	0.030	eV per atom

```
&SYSTEM
  ibrav = 0, nat = 20, ntyp = 3
/
ATOMIC_SPECIES
In 114.82 In.upf
Ga 69.72 Ga.upf
Hg 200.59 Hg.upf
ATOMIC_POSITIONS crystal
In 0.0811 0.6537 0.9957
In 0.0861 0.9139 0.7500
In 0.2138 0.4036 0.6436
In 0.2417 0.6136 0.4426
In 0.3463 0.9189 0.5043
In 0.3864 0.7583 0.0574
In 0.4036 0.2138 0.1436
In 0.5964 0.7862 0.8564
In 0.6136 0.2417 0.9426
In 0.6537 0.0811 0.4957
In 0.7583 0.3864 0.5574
In 0.7862 0.5964 0.3564
In 0.9139 0.0861 0.2500
In 0.9189 0.3463 0.0043
Ga 0.4737 0.5263 0.2500
Ga 0.5263 0.4737 0.7500
Hg 0.1717 0.2192 0.7970
Hg 0.2192 0.1717 0.2970
Hg 0.7808 0.8283 0.7030
Hg 0.8283 0.7808 0.2030
CELL_PARAMETERS angstrom
8.5634 -3.5450 0.0000
8.5634 3.5450 0.0000
-5.7470 0.0000 8.7491
```

---

No. 12
Compound: Na2SnPt2
Source: the Alexandria database
Functional: GGA-PBE
Structure: optimized geometry Values from VASP.

Results
energy of formation	-0.413	eV per atom
relative energy among the computed polymorphs	0	meV/atom

```
&SYSTEM
  ibrav = 0, nat = 10, ntyp = 3
/
ATOMIC_SPECIES
Na 22.99 Na.upf
Sn 118.71 Sn.upf
Pt 195.08 Pt.upf
ATOMIC_POSITIONS crystal
Na 0.0166 0.2772 0.1451
Na 0.2772 0.0166 0.6451
Na 0.7228 0.9834 0.3549
Na 0.9834 0.7228 0.8549
Sn 0.3953 0.6047 0.2500
Sn 0.6047 0.3953 0.7500
Pt 0.2180 0.5050 0.4926
Pt 0.4950 0.7820 0.0074
Pt 0.5050 0.2180 0.9926
Pt 0.7820 0.4950 0.5074
CELL_PARAMETERS angstrom
4.9617 -2.9275 0.0000
4.9617 2.9275 0.0000
-1.8304 0.0000 7.8136
```

---

Calculated volume per entry: 122.3; 62.7; 99.1; 266.4; 344.3; 461.7; 158.6; 133.8; 124.4; 417.5; 531.2; 227.0 Å³/cell